No. 1
Computed, not measured: an optimized crystal structure of CaSnGe4 at the PBE-GGA level of DFT.

Lattice parameters (Å, degrees): 8.091 8.091 8.091 90.00 90.00 90.00
Space group F-43m (No. 216)
Asymmetric unit:
Ca (0.000, 0.000, 0.000) (multiplicity 4)
Sn (0.250, 0.250, 0.250) (multiplicity 4)
Ge (0.125, 0.125, 0.625) (multiplicity 16)

Summary:
V	529.6	Å³/cell
theoretical density	5.6	g/cm3
energy of formation from the pure elements	-105	meV per atom


No. 2
Computed, not measured: an optimized crystal structure of CaSn3Ge at the PBE-GGA level of DFT.

Lattice parameters (Å, degrees): 5.402 5.402 5.402 90.00 90.00 90.00
Space group Pm-3m (No. 221)
Asymmetric unit:
Ca (0.000, 0.000, 0.000) (multiplicity 1)
Sn (0.000, 0.500, 0.500) (multiplicity 3)
Ge (0.500, 0.500, 0.500) (multiplicity 1)

Summary:
V	157.6	Å³/cell
theoretical density	4.9	g/cm3
energy of formation from the pure elements	170	meV per atom
polymorph energy (0 for the lowest one)	0.000	eV/atom


No. 3
Computed, not measured: an optimized crystal structure of CaSnGe at the PBE-GGA level of DFT.

Lattice parameters (Å, degrees): 4.320 17.666 4.073 90.00 90.00 90.00
Space group Cmcm (No. 63)
Asymmetric unit:
Ca (0.000, 0.093, 0.250) (multiplicity 4)
Sn (0.000, 0.284, 0.250) (multiplicity 4)
Ge (0.000, 0.454, 0.250) (multiplicity 4)

Summary:
V	310.9	Å³/cell
theoretical density	4.9	g/cm3
energy of formation from the pure elements	-436	meV per atom


No. 4
Computed, not measured: an optimized crystal structure of Ca3SnGe2 at the PBE-GGA level of DFT.

Lattice parameters (Å, degrees): 12.046 4.468 12.584 90.00 90.00 90.00
Space group Pnma (No. 62)
Asymmetric unit:
Ca (0.068, 0.250, 0.106) (multiplicity 4)
Ca (0.129, 0.750, 0.553) (multiplicity 4)
Ca (0.181, 0.250, 0.814) (multiplicity 4)
Sn (0.148, 0.250, 0.340) (multiplicity 4)
Ge (0.014, 0.750, 0.330) (multiplicity 4)
Ge (0.189, 0.750, 0.995) (multiplicity 4)

Summary:
V	677.4	Å³/cell
theoretical density	3.8	g/cm3
energy of formation from the pure elements	-520	meV per atom


No. 5
Computed, not measured: an optimized crystal structure of Ca3SnGe at the PBE-GGA level of DFT.

Lattice parameters (Å, degrees): 8.6868 8.6868 13.8901 90.00 90.00 120.00
Space group R-3 (No. 148, hexagonal axes)
Asymmetric unit:
Ca (0.0068, 0.7123, 0.2521) (multiplicity 18)
Sn (0.0000, 0.0000, 0.1069) (multiplicity 6)
Ge (0.0000, 0.0000, 0.4002) (multiplicity 6)

Summary:
V	907.7	Å³/cell
theoretical density	3.4	g/cm3
energy of formation from the pure elements	-528	meV per atom
polymorph energy (0 for the lowest one)	0.000	eV/atom


No. 6
Computed, not measured: an optimized crystal structure of Ca2Sn3Ge at the PBE-GGA level of DFT.

Lattice parameters (Å, degrees): 3.541 4.543 10.175 90.00 90.00 90.00
Space group Pmm2 (No. 25)
Asymmetric unit:
Ca (0.000, 0.000, 0.000) (multiplicity 1)
Ca (0.000, 0.500, 0.471) (multiplicity 1)
Sn (0.500, 0.000, 0.644) (multiplicity 1)
Sn (0.500, 0.500, 0.165) (multiplicity 1)
Sn (0.500, 0.500, 0.834) (multiplicity 1)
Ge (0.500, 0.000, 0.337) (multiplicity 1)

Summary:
V	163.7	Å³/cell
theoretical density	5.2	g/cm3
energy of formation from the pure elements	-361	meV per atom